Entry 1:
Entry from Alexandria: a relaxed CdTePdO2 crystal (PBE-GGA). Values from VASP.

Properties
Its space group is P4/mmm, No. 123. For the calculated density, the calculation gives 6.55 g cm⁻³. The uncorrected formation energy is 0.6 eV per formula unit.

Structure (Quantum ESPRESSO input):
```
&SYSTEM
  ibrav = 0, nat = 5, ntyp = 4
/
ATOMIC_SPECIES
Te 127.60 Te.upf
O 16.00 O.upf
Pd 106.42 Pd.upf
Cd 112.41 Cd.upf
ATOMIC_POSITIONS crystal
Te 0.500 0.500 0.500
O 0.000 0.000 0.500
O 0.500 0.000 0.000
Pd 0.000 0.000 0.000
Cd 0.000 0.500 0.000
CELL_PARAMETERS angstrom
-2.065 -1.052 3.243
3.493 -4.888 0.639
2.513 2.093 2.278
```

Entry 2:
Entry from Alexandria: a relaxed RbFeSeN2 crystal (PBE-GGA). Values from VASP.

Properties
Its space group is P4/mmm, No. 123. The energy above the lowest structure with this stoichiometry comes out at 0.0000 eV/atom. For the calculated density, the calculation gives 5.22 g cm⁻³. The uncorrected formation energy is 5.0 eV per formula unit.

Structure (Quantum ESPRESSO input):
```
&SYSTEM
  ibrav = 0, nat = 5, ntyp = 4
/
ATOMIC_SPECIES
Fe 55.84 Fe.upf
N 14.01 N.upf
Rb 85.47 Rb.upf
Se 78.96 Se.upf
ATOMIC_POSITIONS crystal
Fe 0.000 0.000 0.000
N 0.500 0.000 0.000
Rb 0.500 0.500 0.500
N 0.000 0.500 0.000
Se 0.000 0.000 0.500
CELL_PARAMETERS angstrom
3.936 0.000 0.000
0.000 3.936 0.000
0.000 0.000 5.098
```

Entry 3:
Entry from Alexandria: a relaxed TbErSc2As4 crystal (PBE-GGA). Values from VASP.

Properties
Its space group is P2/m, No. 10. The value obtained for the formation energy from the elements is -1.442 eV/atom. For the calculated density, the calculation gives 6.58 g cm⁻³.

Structure (Quantum ESPRESSO input):
```
&SYSTEM
  ibrav = 0, nat = 8, ntyp = 4
/
ATOMIC_SPECIES
Sc 44.96 Sc.upf
Tb 158.93 Tb.upf
As 74.92 As.upf
Er 167.26 Er.upf
ATOMIC_POSITIONS crystal
Sc 0.500 0.000 0.500
Tb 0.500 0.500 0.000
As 0.000 0.765 0.743
Er 0.000 0.500 0.500
As 0.500 0.764 0.247
As 0.000 0.235 0.257
Sc 0.000 0.000 0.000
As 0.500 0.236 0.753
CELL_PARAMETERS angstrom
-1.387 2.070 -3.132
0.870 -5.538 -4.044
-5.778 -3.822 0.034
```

Entry 4:
Entry from Alexandria: a relaxed Ti4Os3Pd crystal (PBE-GGA). Values from VASP.

Properties
Its space group is Pmmm, No. 47. The value obtained for the formation energy from the elements is -0.620 eV/atom. For the calculated density, the calculation gives 12.00 g cm⁻³.

Structure (Quantum ESPRESSO input):
```
&SYSTEM
  ibrav = 0, nat = 8, ntyp = 3
/
ATOMIC_SPECIES
Pd 106.42 Pd.upf
Os 190.23 Os.upf
Ti 47.87 Ti.upf
ATOMIC_POSITIONS crystal
Pd 0.500 0.500 0.000
Os 0.500 0.000 0.751
Os 0.500 0.000 0.249
Ti 0.000 0.000 0.000
Ti 0.000 0.000 0.500
Os 0.500 0.500 0.500
Ti 0.000 0.500 0.256
Ti 0.000 0.500 0.744
CELL_PARAMETERS angstrom
-1.254 1.916 -2.111
2.502 -1.813 -3.131
-6.291 -5.895 -1.615
```

Entry 5:
Entry from Alexandria: a relaxed Sb3SeN crystal (PBE-GGA). Values from VASP.

Properties
Its space group is Pm-3m, No. 221. The energy above the lowest structure with this stoichiometry comes out at 0.0000 eV/atom. For the calculated density, the calculation gives 6.87 g cm⁻³. The uncorrected formation energy is 3.3 eV per formula unit.

Structure (Quantum ESPRESSO input):
```
&SYSTEM
  ibrav = 0, nat = 5, ntyp = 3
/
ATOMIC_SPECIES
Se 78.96 Se.upf
Sb 121.76 Sb.upf
N 14.01 N.upf
ATOMIC_POSITIONS crystal
Se 0.500 0.500 0.500
Sb 0.500 0.000 0.000
Sb 0.000 0.500 0.000
Sb 0.000 0.000 0.500
N 0.000 0.000 0.000
CELL_PARAMETERS angstrom
4.802 0.000 0.000
0.000 4.802 0.000
0.000 0.000 4.802
```

Entry 6:
Entry from Alexandria: a relaxed Sn12Sb5As3 crystal (PBE-GGA). Values from VASP.

Properties
Its space group is Ia-3d, No. 230. For the calculated density, the calculation gives 5.63 g cm⁻³. The uncorrected formation energy is 3.7 eV per formula unit.

Structure (Quantum ESPRESSO input):
```
&SYSTEM
  ibrav = 0, nat = 80, ntyp = 3
/
ATOMIC_SPECIES
Sn 118.71 Sn.upf
Sb 121.76 Sb.upf
As 74.92 As.upf
ATOMIC_POSITIONS crystal
Sn 0.571 0.237 0.140
Sn 0.763 0.334 0.903
Sn 0.430 0.360 0.597
Sb 0.250 0.375 0.625
Sn 0.737 0.140 0.071
Sb 0.250 0.875 0.125
Sb 0.750 0.625 0.375
Sn 0.097 0.930 0.360
Sb 0.000 0.500 0.500
Sn 0.166 0.070 0.929
Sn 0.597 0.737 0.666
Sb 0.000 0.500 0.000
Sb 0.000 0.000 0.500
As 0.750 0.875 0.625
Sb 0.625 0.750 0.875
Sn 0.403 0.140 0.570
Sb 0.125 0.375 0.250
Sn 0.237 0.571 0.640
Sb 0.500 0.500 0.000
Sn 0.430 0.071 0.334
As 0.625 0.250 0.375
Sn 0.666 0.429 0.570
Sn 0.166 0.097 0.737
Sn 0.930 0.834 0.571
Sb 0.500 0.500 0.500
Sb 0.375 0.250 0.125
As 0.875 0.750 0.125
As 0.125 0.250 0.875
Sn 0.860 0.263 0.429
As 0.375 0.625 0.250
Sn 0.640 0.570 0.903
Sb 0.625 0.875 0.250
As 0.250 0.125 0.375
Sb 0.750 0.125 0.875
As 0.250 0.625 0.875
Sb 0.125 0.750 0.375
Sb 0.000 0.000 0.000
Sb 0.500 0.000 0.000
Sb 0.500 0.000 0.500
Sn 0.070 0.903 0.140
Sn 0.834 0.930 0.071
Sn 0.666 0.237 0.597
Sn 0.860 0.597 0.930
Sn 0.903 0.834 0.763
Sn 0.929 0.360 0.263
As 0.625 0.375 0.750
Sn 0.070 0.166 0.429
Sn 0.640 0.071 0.237
Sn 0.903 0.070 0.640
Sn 0.334 0.763 0.403
Sn 0.763 0.429 0.360
Sn 0.403 0.263 0.334
Sn 0.737 0.597 0.166
Sn 0.834 0.903 0.263
Sn 0.571 0.334 0.930
Sn 0.429 0.763 0.860
Sn 0.929 0.570 0.166
Sn 0.429 0.666 0.070
Sn 0.097 0.166 0.237
Sn 0.263 0.860 0.929
Sn 0.263 0.403 0.834
As 0.125 0.875 0.750
Sb 0.375 0.125 0.750
Sn 0.570 0.640 0.403
Sn 0.140 0.737 0.571
Sn 0.071 0.430 0.834
Sb 0.875 0.625 0.750
As 0.750 0.375 0.125
Sn 0.237 0.666 0.097
As 0.875 0.125 0.250
Sn 0.570 0.929 0.666
Sn 0.597 0.860 0.430
Sn 0.360 0.929 0.763
Sb 0.875 0.250 0.625
Sn 0.071 0.640 0.737
Sn 0.360 0.430 0.097
Sn 0.140 0.403 0.070
As 0.375 0.750 0.625
Sn 0.930 0.097 0.860
Sn 0.334 0.571 0.430
CELL_PARAMETERS angstrom
-4.431 11.999 -8.074
-11.938 -8.837 2.865
6.068 4.664 13.048
```